Below is an optimized crystal structure of TlSiPt2, with properties calculated at the PBE level.

```
data_TlSiPt2
_symmetry_space_group_name_H-M 'P 1'
_symmetry_Int_Tables_number 1
_cell_length_a 5.016
_cell_length_b 5.016
_cell_length_c 5.016
_cell_angle_alpha 137.31
_cell_angle_beta 108.05
_cell_angle_gamma 87.43
loop_
_symmetry_equiv_pos_as_xyz
'x,y,z'
loop_
_atom_site_label
_atom_site_fract_x
_atom_site_fract_y
_atom_site_fract_z
Pt1 0.049 0.049 0.000
Pt2 0.451 0.451 0.000
Si1 0.250 0.750 0.500
Tl1 0.750 0.250 0.500
```

Formation energy (no corrections) ... -96.2 meV/atom
VASP energy ... -5.064 eV/atom